Record 1
MgMn2Al after structural relaxation, computed with GGA-PBE.

a = 3.780 Å, b = 3.780 Å, c = 8.495 Å
α = 90.00°, β = 90.00°, γ = 90.00°
Space group I-4m2 (No. 119)
One atom of each set of equivalent atoms:
Mg  0.000  0.000  0.000
Mn  0.000  0.000  0.500
Mn  0.000  0.500  0.750
Al  0.000  0.500  0.250



Record 2
Mg2MnAl after structural relaxation, computed with GGA-PBE.

a = 3.003 Å, b = 3.684 Å, c = 6.334 Å
α = 90.00°, β = 90.00°, γ = 90.00°
Space group Pmm2 (No. 25)
One atom of each set of equivalent atoms:
Mg  0.000  0.000  0.000
Mg  0.500  0.500  0.293
Mn  0.000  0.000  0.544
Al  0.500  0.500  0.728



Record 3
Mg2MnAl after structural relaxation, computed with GGA-PBE.

a = 3.441 Å, b = 3.441 Å, c = 6.151 Å
α = 90.00°, β = 90.00°, γ = 90.00°
Space group P4/mmm (No. 123)
One atom of each set of equivalent atoms:
Mg  0.000  0.000  0.239
Mn  0.500  0.500  0.000
Al  0.500  0.500  0.500



Record order is preserved below.
E_form: 112.1, 78.2, 160.9 meV per atom
Record order is preserved below.
Calculated total energy: -5.807, -3.947, -3.864 eV/atom